Entry 1:
Nd3Dy2ScSe6: optimized geometry, PBE.

Values from the calculation:
Spin magnetization: 0.00 μB/f.u.
E_form (uncorrected): -1.763 eV/atom
DOS(E_F): 5.389 states/eV per cell
Calculated volume: 297 Å³ per cell

Lattice parameters (Å, degrees): 4.0796 8.3465 9.2619 104.50 102.72 90.00
With the nearest neighbours (Å) after each atom.
Fractional coordinates of all 12 atoms:
Nd1 0.8308 0.1641 0.6616  6 Se 2.98-3.02
Nd2 0.5000 0.5000 0.0000  6 Se 2.97-3.04
Nd3 0.1692 0.8359 0.3384  6 Se 2.98-3.02
Se1 0.9985 0.7688 0.9970  2 Sc 2.80, 1 Dy 2.87, 3 Nd 2.99-3.04
Se2 0.0015 0.2312 0.0030  2 Sc 2.80, 1 Dy 2.87, 3 Nd 2.99-3.04
Se3 0.3416 0.9110 0.6833  1 Sc 2.77, 2 Dy 2.86, 3 Nd 2.98-3.02
Se4 0.3301 0.4245 0.6601  3 Dy 2.87, 3 Nd 2.97-2.98
Se5 0.6584 0.0890 0.3167  1 Sc 2.77, 2 Dy 2.86, 3 Nd 2.98-3.02
Se6 0.6699 0.5755 0.3399  3 Dy 2.87, 3 Nd 2.97-2.98
Sc1 0.5000 0.0000 0.0000  6 Se 2.77-2.80
Dy1 0.1658 0.3323 0.3317  6 Se 2.86-2.87
Dy2 0.8342 0.6677 0.6683  6 Se 2.86-2.87

Entry 2:
BaGePb2: optimized geometry, PBE.

Values from the calculation:
Spin magnetization: 0.00 μB/f.u.
Energy of formation: -0.117 eV per atom
DOS(E_F): 3.806 states/eV per cell
Calculated volume: 292 Å³ per cell

Lattice parameters (Å, degrees): 5.2519 5.2519 11.2089 76.45 76.45 90.00
With the nearest neighbours (Å) after each atom.
Fractional coordinates of all 8 atoms:
Pb1 0.8750 0.7844 0.7500  2 Ge 3.07, 2 Pb 3.11
Pb2 0.5344 0.1250 0.2500  2 Ge 3.07, 2 Pb 3.11
Pb3 0.2156 0.6250 0.2500  2 Ge 3.07, 2 Pb 3.11
Pb4 0.3750 0.4656 0.7500  2 Ge 3.07, 2 Pb 3.11
Ba1 0.0000 0.0000 0.0000  4 Pb 3.45, 4 Ge 3.71
Ba2 0.7500 0.2500 0.5000  4 Pb 3.45, 4 Ge 3.71
Ge1 0.5000 0.5000 0.0000  4 Pb 3.07
Ge2 0.2500 0.7500 0.5000  4 Pb 3.07

Entry 3:
Sn2BAs: optimized geometry, PBE.

Values from the calculation:
Spin magnetization: 0.00 μB/f.u.
Energy of formation: 0.172 eV per atom
DOS(E_F): 0.000 states/eV per cell
Calculated volume: 188 Å³ per cell
Relative energy among the computed polymorphs: 0 meV per atom

Lattice parameters (Å, degrees): 5.7607 5.7607 6.9778 65.62 65.62 90.00
With the nearest neighbours (Å) after each atom.
Fractional coordinates of all 8 atoms:
Sn1 0.5643 0.1250 0.2500  2 B 2.30
Sn2 0.8750 0.8143 0.7500  2 B 2.30
Sn3 0.3750 0.4357 0.7500  2 B 2.30
Sn4 0.1857 0.6250 0.2500  2 B 2.30
B1 0.2500 0.7500 0.5000  4 Sn 2.30
B2 0.5000 0.5000 0.0000  4 Sn 2.30
As1 0.0000 0.0000 0.0000  4 Sn 2.70
As2 0.7500 0.2500 0.5000  4 Sn 2.70